A relaxed MnCr3O8 crystal, computed with PBEsol.

```
MnCr3O8
1.0
5.684 0.000 0.000
-2.842 4.923 0.000
0.000 0.000 8.627
Mn Cr O
2 6 16
Direct
0.333 0.667 0.000
0.667 0.333 0.500
0.164 0.329 0.274
0.164 0.836 0.274
0.329 0.164 0.774
0.671 0.836 0.274
0.836 0.164 0.774
0.836 0.671 0.774
0.000 0.000 0.158
0.000 0.000 0.658
0.046 0.523 0.139
0.171 0.342 0.875
0.171 0.829 0.875
0.333 0.667 0.378
0.342 0.171 0.375
0.477 0.523 0.139
0.477 0.954 0.139
0.523 0.046 0.639
0.523 0.477 0.639
0.658 0.829 0.875
0.667 0.333 0.878
0.829 0.171 0.375
0.829 0.658 0.375
0.954 0.477 0.639
```

Values from the calculation:
formation energy from raw total energies = -20.88 eV/f.u.
space group = P6_3mc, No. 186
total moment = 18.0 μB/cell
density of states at the Fermi level = 0.432 states/eV per atom